# Tb2CdHg5 (GGA-PBE, relaxed)
# - E: -1.81 eV/atom
# - Energy relative to the elements: -0.3574 eV per atom
data_Tb2CdHg5
_chemical_formula_sum 'Tb4 Cd2 Hg10'
_cell_length_a 4.9863
_cell_length_b 6.7239
_cell_length_c 11.4398
_cell_angle_alpha 90.00
_cell_angle_beta 90.00
_cell_angle_gamma 90.00
_space_group_name_H-M_alt 'A m m 2'
_space_group_IT_number 38
loop_
_space_group_symop_operation_xyz
'x,y,z'
'-x,-y,z'
'-x,y,z'
'x,-y,z'
'x,y+1/2,z+1/2'
'-x,-y+1/2,z+1/2'
'-x,y+1/2,z+1/2'
'x,-y+1/2,z+1/2'
loop_
_atom_site_label
_atom_site_type_symbol
_atom_site_fract_x
_atom_site_fract_y
_atom_site_fract_z
Tb1 Tb 0.0000 0.0000 0.0000
Tb2 Tb 0.5000 0.0000 0.3287
Cd1 Cd 0.5000 0.0000 0.8185
Hg1 Hg 0.0000 0.0000 0.4976
Hg2 Hg 0.0000 0.2448 0.7487
Hg3 Hg 0.5000 0.2487 0.0770



# HfSn2Mo2 (GGA-PBE, relaxed)
# - E: -7.55 eV/atom
data_HfSn2Mo2
_chemical_formula_sum 'Hf2 Sn4 Mo4'
_cell_length_a 3.8490
_cell_length_b 3.8490
_cell_length_c 13.8230
_cell_angle_alpha 90.00
_cell_angle_beta 90.00
_cell_angle_gamma 90.00
_space_group_name_H-M_alt 'I 4/m m m'
_space_group_IT_number 139
_space_group_name_Hall '-I 4 2'
loop_
_atom_site_label
_atom_site_type_symbol
_atom_site_fract_x
_atom_site_fract_y
_atom_site_fract_z
Hf1 Hf 0.0000 0.0000 0.0000
Sn1 Sn 0.0000 0.0000 0.3970
Mo1 Mo 0.0000 0.5000 0.2500



# LiZnCoAg (GGA-PBE, relaxed)
# - E: -3.20 eV/atom
data_LiZnCoAg
_chemical_formula_sum 'Li4 Zn4 Co4 Ag4'
_cell_length_a 6.0318
_cell_length_b 6.0318
_cell_length_c 6.0318
_cell_angle_alpha 90.00
_cell_angle_beta 90.00
_cell_angle_gamma 90.00
_space_group_name_H-M_alt 'F -4 3 m'
_space_group_IT_number 216
_space_group_name_Hall 'F -4 2 3'
loop_
_atom_site_label
_atom_site_type_symbol
_atom_site_fract_x
_atom_site_fract_y
_atom_site_fract_z
Li1 Li 0.0000 0.0000 0.0000
Zn1 Zn 0.2500 0.2500 0.2500
Co1 Co 0.0000 0.0000 0.5000
Ag1 Ag 0.2500 0.2500 0.7500



# LuRe2Si (GGA-PBE, relaxed)
# - E: -8.50 eV/atom
data_LuRe2Si
_chemical_formula_sum 'Lu4 Re8 Si4'
_cell_length_a 6.3821
_cell_length_b 6.3821
_cell_length_c 6.3821
_cell_angle_alpha 90.00
_cell_angle_beta 90.00
_cell_angle_gamma 90.00
_space_group_name_H-M_alt 'F -4 3 m'
_space_group_IT_number 216
_space_group_name_Hall 'F -4 2 3'
loop_
_atom_site_label
_atom_site_type_symbol
_atom_site_fract_x
_atom_site_fract_y
_atom_site_fract_z
Lu1 Lu 0.0000 0.0000 0.0000
Re1 Re 0.0000 0.0000 0.5000
Re2 Re 0.2500 0.2500 0.2500
Si1 Si 0.2500 0.2500 0.7500



# Rb4Zr6CCl18 (GGA-PBE, relaxed)
# - E: -5.22 eV/atom
data_Rb4Zr6CCl18
_chemical_formula_sum 'Rb8 Zr12 C2 Cl36'
_cell_length_a 10.7567
_cell_length_b 17.7244
_cell_length_c 10.0254
_cell_angle_alpha 90.00
_cell_angle_beta 114.95
_cell_angle_gamma 90.00
_space_group_name_H-M_alt 'C 1 2/m 1'
_space_group_IT_number 12
loop_
_space_group_symop_operation_xyz
'x,y,z'
'-x,-y,-z'
'-x,y,-z'
'x,-y,z'
'x+1/2,y+1/2,z'
'-x+1/2,-y+1/2,-z'
'-x+1/2,y+1/2,-z'
'x+1/2,-y+1/2,z'
loop_
_atom_site_label
_atom_site_type_symbol
_atom_site_fract_x
_atom_site_fract_y
_atom_site_fract_z
Rb1 Rb 0.1072 0.1620 0.3165
Zr1 Zr 0.1214 0.5000 0.8561
Zr2 Zr 0.1433 0.4082 0.1483
C1 C 0.0000 0.5000 0.0000
Cl1 Cl 0.0000 0.2958 0.0000
Cl2 Cl 0.0247 0.3979 0.3199
Cl3 Cl 0.1807 0.0000 0.6744
Cl4 Cl 0.1918 0.1967 0.6763
Cl5 Cl 0.2067 0.1027 0.9938
Cl6 Cl 0.2395 0.0000 0.3030



# Fe6W (GGA-PBE, relaxed)
# - E: -8.60 eV/atom
# - Energy relative to the elements: 0.3702 eV per atom
data_Fe6W
_chemical_formula_sum 'Fe18 W3'
_cell_length_a 4.8428
_cell_length_b 4.8428
_cell_length_c 12.5475
_cell_angle_alpha 90.00
_cell_angle_beta 90.00
_cell_angle_gamma 120.00
_space_group_name_H-M_alt 'R -3'
_space_group_IT_number 148
_space_group_name_Hall '-R 3'
loop_
_atom_site_label
_atom_site_type_symbol
_atom_site_fract_x
_atom_site_fract_y
_atom_site_fract_z
Fe1 Fe 0.0066 0.5316 0.4086
W1 W 0.0000 0.0000 0.5000



# Mg2Os3 (GGA-PBE, relaxed)
# - E: -6.16 eV/atom
data_Mg2Os3
_chemical_formula_sum 'Mg12 Os18'
_cell_length_a 6.5589
_cell_length_b 6.5589
_cell_length_c 13.2054
_cell_angle_alpha 90.00
_cell_angle_beta 90.00
_cell_angle_gamma 120.00
_space_group_name_H-M_alt 'R -3 c'
_space_group_IT_number 167
_space_group_name_Hall '-R 3 2"c'
loop_
_atom_site_label
_atom_site_type_symbol
_atom_site_fract_x
_atom_site_fract_y
_atom_site_fract_z
Mg1 Mg 0.0000 0.0000 0.0897
Os1 Os 0.0000 0.2314 0.2500



# HfGe2B (GGA-PBE, relaxed)
# - E: -5.77 eV/atom
data_HfGe2B
_chemical_formula_sum 'Hf4 Ge8 B4'
_cell_length_a 6.4092
_cell_length_b 6.4092
_cell_length_c 6.4092
_cell_angle_alpha 90.00
_cell_angle_beta 90.00
_cell_angle_gamma 90.00
_space_group_name_H-M_alt 'F -4 3 m'
_space_group_IT_number 216
_space_group_name_Hall 'F -4 2 3'
loop_
_atom_site_label
_atom_site_type_symbol
_atom_site_fract_x
_atom_site_fract_y
_atom_site_fract_z
Hf1 Hf 0.0000 0.0000 0.0000
Ge1 Ge 0.0000 0.0000 0.5000
Ge2 Ge 0.2500 0.2500 0.2500
B1 B 0.2500 0.2500 0.7500



no.,total moment (Bohr magnetons per cell),ρ (g/cm³)
1,0.0,12.41
2,0.0,9.86
3,2.9,7.24
4,0.0,14.70
5,0.0,2.95
6,30.1,10.14
7,0.2,12.54
8,0.0,8.44